No. 1
# PBE Ag2WSe, optimized geometry
data_Ag2WSe
_space_group_name_H-M_alt 'C 1 m 1'
_space_group_IT_number 8
_cell_length_a 9.392
_cell_length_b 3.091
_cell_length_c 5.629
_cell_angle_alpha 90.00
_cell_angle_beta 115.24
_cell_angle_gamma 90.00
loop_
_space_group_symop_operation_xyz
'x,y,z'
'x,-y,z'
'x+1/2,y+1/2,z'
'x+1/2,-y+1/2,z'
loop_
_atom_site_label
_atom_site_fract_x
_atom_site_fract_y
_atom_site_fract_z
Ag1 0.000 0.000 0.000
Ag2 0.232 0.000 0.844
W1 0.234 0.500 0.413
Se1 0.441 0.000 0.418
# Total DFT energy (no corrections), eV per atom: -5.08
# Formation energy without anion corrections, eV per atom: 0.457

---

No. 2
# PBE AgW2Se, optimized geometry
data_AgW2Se
_space_group_name_H-M_alt 'P 4/m m m'
_space_group_IT_number 123
_space_group_name_Hall '-P 4 2'
_cell_length_a 3.838
_cell_length_b 3.838
_cell_length_c 4.723
_cell_angle_alpha 90.00
_cell_angle_beta 90.00
_cell_angle_gamma 90.00
loop_
_atom_site_label
_atom_site_fract_x
_atom_site_fract_y
_atom_site_fract_z
Ag1 0.000 0.000 0.000
W1 0.000 0.500 0.500
Se1 0.500 0.500 0.000
# Total DFT energy (no corrections), eV per atom: -7.08
# Formation energy without anion corrections, eV per atom: 0.982

---

No. 3
# PBE AgWSe2, optimized geometry
data_AgWSe2
_space_group_name_H-M_alt 'P m m m'
_space_group_IT_number 47
_cell_length_a 3.149
_cell_length_b 4.143
_cell_length_c 5.986
_cell_angle_alpha 90.00
_cell_angle_beta 90.00
_cell_angle_gamma 90.00
loop_
_space_group_symop_operation_xyz
'x,y,z'
'-x,-y,-z'
'-x,-y,z'
'x,y,-z'
'x,-y,-z'
'-x,y,z'
'-x,y,-z'
'x,-y,z'
loop_
_atom_site_label
_atom_site_fract_x
_atom_site_fract_y
_atom_site_fract_z
Ag1 0.000 0.000 0.000
W1 0.500 0.000 0.500
Se1 0.000 0.500 0.500
Se2 0.500 0.500 0.000
# Total DFT energy (no corrections), eV per atom: -4.90
# Formation energy without anion corrections, eV per atom: 0.791
# Polymorph energy (0 for the lowest one), meV/atom: 845

---

No. 4
# PBE ZrAgW2Se, optimized geometry
data_ZrAgW2Se
_space_group_name_H-M_alt 'P 4/m m m'
_space_group_IT_number 123
_space_group_name_Hall '-P 4 2'
_cell_length_a 4.948
_cell_length_b 4.948
_cell_length_c 5.049
_cell_angle_alpha 90.00
_cell_angle_beta 90.00
_cell_angle_gamma 90.00
loop_
_atom_site_label
_atom_site_fract_x
_atom_site_fract_y
_atom_site_fract_z
Zr1 0.000 0.000 0.000
Ag1 0.500 0.500 0.500
W1 0.000 0.500 0.000
Se1 0.000 0.000 0.500
# Total DFT energy (no corrections), eV per atom: -6.11
# Formation energy without anion corrections, eV per atom: 2.046

---

No. 5
# PBE Y5AgSe4, optimized geometry
data_Y5AgSe4
_space_group_name_H-M_alt 'C 1 2/m 1'
_space_group_IT_number 12
_cell_length_a 13.824
_cell_length_b 4.057
_cell_length_c 10.182
_cell_angle_alpha 90.00
_cell_angle_beta 120.20
_cell_angle_gamma 90.00
loop_
_space_group_symop_operation_xyz
'x,y,z'
'-x,-y,-z'
'-x,y,-z'
'x,-y,z'
'x+1/2,y+1/2,z'
'-x+1/2,-y+1/2,-z'
'-x+1/2,y+1/2,-z'
'x+1/2,-y+1/2,z'
loop_
_atom_site_label
_atom_site_fract_x
_atom_site_fract_y
_atom_site_fract_z
Y1 0.000 0.000 0.000
Y2 0.102 0.500 0.397
Y3 0.200 0.000 0.800
Ag1 0.000 0.000 0.500
Se1 0.102 0.500 0.904
Se2 0.200 0.000 0.298
# Total DFT energy (no corrections), eV per atom: -6.38
# Formation energy without anion corrections, eV per atom: -1.465

---

No. 6
# PBE YAgSe2, optimized geometry
data_YAgSe2
_space_group_name_H-M_alt 'P 4/m m m'
_space_group_IT_number 123
_space_group_name_Hall '-P 4 2'
_cell_length_a 3.569
_cell_length_b 3.569
_cell_length_c 7.088
_cell_angle_alpha 90.00
_cell_angle_beta 90.00
_cell_angle_gamma 90.00
loop_
_atom_site_label
_atom_site_fract_x
_atom_site_fract_y
_atom_site_fract_z
Y1 0.000 0.000 0.000
Ag1 0.000 0.000 0.500
Se1 0.500 0.500 0.236
# Total DFT energy (no corrections), eV per atom: -4.95
# Formation energy without anion corrections, eV per atom: -0.881

---

No. 7
# PBE YAgSe2, optimized geometry
data_YAgSe2
_space_group_name_H-M_alt 'I -4 2 d'
_space_group_IT_number 122
_space_group_name_Hall 'I -4 2bw'
_cell_length_a 6.166
_cell_length_b 6.166
_cell_length_c 13.059
_cell_angle_alpha 90.00
_cell_angle_beta 90.00
_cell_angle_gamma 90.00
loop_
_atom_site_label
_atom_site_fract_x
_atom_site_fract_y
_atom_site_fract_z
Y1 0.000 0.000 0.000
Ag1 0.000 0.000 0.500
Se1 0.245 0.250 0.625
# Total DFT energy (no corrections), eV per atom: -5.13
# Formation energy without anion corrections, eV per atom: -1.058

---

No. 8
# PBE YAgSe2, optimized geometry
data_YAgSe2
_space_group_name_H-M_alt 'I m m 2'
_space_group_IT_number 44
_cell_length_a 3.770
_cell_length_b 3.926
_cell_length_c 13.192
_cell_angle_alpha 90.00
_cell_angle_beta 90.00
_cell_angle_gamma 90.00
loop_
_space_group_symop_operation_xyz
'x,y,z'
'-x,-y,z'
'-x,y,z'
'x,-y,z'
'x+1/2,y+1/2,z+1/2'
'-x+1/2,-y+1/2,z+1/2'
'-x+1/2,y+1/2,z+1/2'
'x+1/2,-y+1/2,z+1/2'
loop_
_atom_site_label
_atom_site_fract_x
_atom_site_fract_y
_atom_site_fract_z
Y1 0.000 0.000 0.000
Ag1 0.000 0.500 0.786
Se1 0.000 0.000 0.582
Se2 0.000 0.500 0.336
# Total DFT energy (no corrections), eV per atom: -5.14
# Formation energy without anion corrections, eV per atom: -1.064

---

No. 9
# PBE Y2AgSe, optimized geometry
data_Y2AgSe
_space_group_name_H-M_alt 'C 1 2/m 1'
_space_group_IT_number 12
_cell_length_a 6.934
_cell_length_b 4.001
_cell_length_c 7.732
_cell_angle_alpha 90.00
_cell_angle_beta 107.32
_cell_angle_gamma 90.00
loop_
_space_group_symop_operation_xyz
'x,y,z'
'-x,-y,-z'
'-x,y,-z'
'x,-y,z'
'x+1/2,y+1/2,z'
'-x+1/2,-y+1/2,-z'
'-x+1/2,y+1/2,-z'
'x+1/2,-y+1/2,z'
loop_
_atom_site_label
_atom_site_fract_x
_atom_site_fract_y
_atom_site_fract_z
Y1 0.245 0.000 0.237
Ag1 0.000 0.000 0.500
Se1 0.000 0.500 0.000
# Total DFT energy (no corrections), eV per atom: -5.78
# Formation energy without anion corrections, eV per atom: -0.969

---

No. 10
# PBE Y2AgSe, optimized geometry
data_Y2AgSe
_space_group_name_H-M_alt 'C m c m'
_space_group_IT_number 63
_space_group_name_Hall '-C 2c 2'
_cell_length_a 4.078
_cell_length_b 23.323
_cell_length_c 4.180
_cell_angle_alpha 90.00
_cell_angle_beta 90.00
_cell_angle_gamma 90.00
loop_
_atom_site_label
_atom_site_fract_x
_atom_site_fract_y
_atom_site_fract_z
Y1 0.000 0.070 0.250
Y2 0.000 0.317 0.250
Ag1 0.000 0.457 0.250
Se1 0.000 0.194 0.250
# Total DFT energy (no corrections), eV per atom: -5.87
# Formation energy without anion corrections, eV per atom: -1.051

---

No. 11
# PBE YAgSe3, optimized geometry
data_YAgSe3
_space_group_name_H-M_alt 'P m -3 m'
_space_group_IT_number 221
_space_group_name_Hall '-P 4 2 3'
_cell_length_a 5.475
_cell_length_b 5.475
_cell_length_c 5.475
_cell_angle_alpha 90.00
_cell_angle_beta 90.00
_cell_angle_gamma 90.00
loop_
_atom_site_label
_atom_site_fract_x
_atom_site_fract_y
_atom_site_fract_z
Y1 0.000 0.000 0.000
Ag1 0.500 0.500 0.500
Se1 0.000 0.000 0.500
# Total DFT energy (no corrections), eV per atom: -4.20
# Formation energy without anion corrections, eV per atom: -0.245
# Polymorph energy (0 for the lowest one), meV/atom: 42

---

No. 12
# PBE YAgSe3, optimized geometry
data_YAgSe3
_space_group_name_H-M_alt 'P m -3 m'
_space_group_IT_number 221
_space_group_name_Hall '-P 4 2 3'
_cell_length_a 5.030
_cell_length_b 5.030
_cell_length_c 5.030
_cell_angle_alpha 90.00
_cell_angle_beta 90.00
_cell_angle_gamma 90.00
loop_
_atom_site_label
_atom_site_fract_x
_atom_site_fract_y
_atom_site_fract_z
Y1 0.000 0.000 0.000
Ag1 0.500 0.500 0.500
Se1 0.000 0.500 0.500
# Total DFT energy (no corrections), eV per atom: -4.24
# Formation energy without anion corrections, eV per atom: -0.287
# Polymorph energy (0 for the lowest one), meV/atom: 0